Entry from Alexandria: an optimized crystal structure of ErMgIrPd (PBE-GGA).

Values from the calculation:
* electronic total energy: -23.2 eV for the cell shown
* calculated volume: 72 Å³/cell

abc: 4.6783 4.6783 4.6783
angles: 60.00 60.00 60.00
Fractional positions:
Ir 0.0000 0.0000 0.0000
Mg 0.2500 0.2500 0.2500
Pd 0.5000 0.5000 0.5000
Er 0.7500 0.7500 0.7500